DFT (GGA-PBE) results for a relaxed structure of HfMgOsPb.

abc: 6.718 6.718 6.718
angles: 90.00 90.00 90.00
Space group F-43m (No. 216)
Inequivalent atoms, fractional coordinates:
Hf  0.000  0.000  0.000
Mg  0.250  0.250  0.750
Os  0.000  0.000  0.500
Pb  0.250  0.250  0.250

Computed properties:
Spin magnetization   0.00 μB per atom
Calculated volume   303.2 Å³ per cell
Energy relative to the lowest polymorph listed for this composition   0.303 eV/atom
Uncorrected energy   -6.218 eV per atom